(1)
Below is an optimized crystal structure of ScRhPb2, with properties calculated at the GGA-PBE level.

Values from the calculation:
The total energy comes out at -5.36 eV per atom. The calculation puts the density of states at the Fermi level at 2.05 states/eV/f.u.

Unit cell a=6.363 b=6.363 c=6.363 alpha=103.24 beta=103.24 gamma=122.80
Positions (direct):
1 Sc 0.000 0.000 0.000
2 Sc 0.750 0.250 0.500
3 Rh 0.250 0.750 0.500
4 Rh 0.500 0.500 0.000
5 Pb 0.161 0.125 0.536
6 Pb 0.375 0.839 0.964
7 Pb 0.589 0.625 0.464
8 Pb 0.875 0.411 0.036

***

(2)
Below is an optimized crystal structure of ZrBeNi2, with properties calculated at the GGA-PBE level.

Values from the calculation:
The total energy comes out at -6.09 eV per atom. The calculation puts the density of states at the Fermi level at 5.74 states/eV/f.u. The calculation puts the energy above the most stable polymorph in this dataset at 29.7 kJ/mol of atoms.

Unit cell a=4.206 b=4.206 c=4.206 alpha=60.00 beta=60.00 gamma=60.00
Positions (direct):
1 Zr 0.000 0.000 0.000
2 Be 0.250 0.250 0.250
3 Ni 0.500 0.500 0.500
4 Ni 0.750 0.750 0.750

***

(3)
Below is an optimized crystal structure of KNa3N, with properties calculated at the GGA-PBE level.

Values from the calculation:
The total energy comes out at -2.36 eV per atom. The calculation puts the uncorrected formation energy at 1.572 eV per formula unit. The calculation puts the density of states at the Fermi level at 2.94 states/eV/f.u. The calculation puts the energy above the most stable polymorph in this dataset at 0.0 kJ/mol of atoms.

Unit cell a=5.077 b=5.077 c=5.077 alpha=90.00 beta=90.00 gamma=90.00
Positions (direct):
1 K 0.000 0.000 0.000
2 Na 0.000 0.500 0.500
3 Na 0.500 0.000 0.500
4 Na 0.500 0.500 0.000
5 N 0.500 0.500 0.500

***

(4)
Below is an optimized crystal structure of PmHo5Ir6, with properties calculated at the GGA-PBE level.

Values from the calculation:
The total energy comes out at -7.54 eV per atom. The calculation puts the density of states at the Fermi level at 3.65 states/eV/f.u.

Unit cell a=4.738 b=7.167 c=7.499 alpha=90.00 beta=108.34 gamma=90.00
Positions (direct):
1 Pm 0.000 0.000 0.000
2 Ho 0.000 0.500 0.000
3 Ho 0.332 0.000 0.665
4 Ho 0.333 0.500 0.666
5 Ho 0.667 0.500 0.334
6 Ho 0.668 0.000 0.335
7 Ir 0.168 0.253 0.337
8 Ir 0.168 0.747 0.337
9 Ir 0.500 0.256 0.000
10 Ir 0.500 0.744 0.000
11 Ir 0.832 0.253 0.663
12 Ir 0.832 0.747 0.663

***

(5)
Below is an optimized crystal structure of Sn3IrBr, with properties calculated at the GGA-PBE level.

Values from the calculation:
The total energy comes out at -3.14 eV per atom. The calculation puts the uncorrected formation energy at 6.851 eV per formula unit. The calculation puts the density of states at the Fermi level at 6.20 states/eV/f.u. The calculation puts the energy above the most stable polymorph in this dataset at 138.5 kJ/mol of atoms.

Unit cell a=5.375 b=5.375 c=5.375 alpha=90.00 beta=90.00 gamma=90.00
Positions (direct):
1 Sn 0.000 0.000 0.500
2 Sn 0.000 0.500 0.000
3 Sn 0.500 0.000 0.000
4 Ir 0.500 0.500 0.500
5 Br 0.000 0.000 0.000

***

(6)
Below is an optimized crystal structure of Nd4Er, with properties calculated at the GGA-PBE level.

Values from the calculation:
The total energy comes out at -4.71 eV per atom. The calculation puts the density of states at the Fermi level at 6.16 states/eV/f.u. The calculation puts the energy above the most stable polymorph in this dataset at 0.0 kJ/mol of atoms.

Unit cell a=3.647 b=3.647 c=14.998 alpha=96.93 beta=96.93 gamma=59.99
Positions (direct):
1 Nd 0.102 0.102 0.305
2 Nd 0.300 0.300 0.899
3 Nd 0.700 0.700 0.101
4 Nd 0.898 0.898 0.695
5 Er 0.500 0.500 0.500

***

(7)
Below is an optimized crystal structure of Pu2BeSi, with properties calculated at the GGA-PBE level.

Values from the calculation:
The total energy comes out at -9.38 eV per atom. The calculation puts the uncorrected formation energy at 0.292 eV per formula unit. The calculation puts the density of states at the Fermi level at 6.68 states/eV/f.u. The calculation puts the energy above the most stable polymorph in this dataset at 5.2 kJ/mol of atoms.

Unit cell a=3.528 b=3.528 c=4.610 alpha=90.00 beta=90.00 gamma=90.00
Positions (direct):
1 Pu 0.000 0.500 0.000
2 Pu 0.500 0.000 0.000
3 Be 0.000 0.000 0.500
4 Si 0.500 0.500 0.500

***

(8)
Below is an optimized crystal structure of Ba3RhCl3, with properties calculated at the GGA-PBE level.

Values from the calculation:
The total energy comes out at -4.31 eV per atom. The calculation puts the uncorrected formation energy at -11.526 eV per formula unit.

Unit cell a=11.139 b=11.139 c=11.139 alpha=109.47 beta=109.47 gamma=109.47
Positions (direct):
1 Ba 0.005 0.010 0.255
2 Ba 0.005 0.495 0.750
3 Ba 0.010 0.255 0.005
4 Ba 0.245 0.255 0.750
5 Ba 0.245 0.490 0.495
6 Ba 0.255 0.005 0.010
7 Ba 0.255 0.750 0.245
8 Ba 0.490 0.495 0.245
9 Ba 0.495 0.245 0.490
10 Ba 0.495 0.750 0.005
11 Ba 0.750 0.005 0.495
12 Ba 0.750 0.245 0.255
13 Rh 0.000 0.250 0.500
14 Rh 0.250 0.250 0.250
15 Rh 0.250 0.500 0.000
16 Rh 0.500 0.000 0.250
17 Cl 0.006 0.013 0.756
18 Cl 0.006 0.494 0.250
19 Cl 0.013 0.756 0.006
20 Cl 0.250 0.006 0.494
21 Cl 0.250 0.744 0.756
22 Cl 0.487 0.494 0.744
23 Cl 0.494 0.250 0.006
24 Cl 0.494 0.744 0.487
25 Cl 0.744 0.487 0.494
26 Cl 0.744 0.756 0.250
27 Cl 0.756 0.006 0.013
28 Cl 0.756 0.250 0.744

***

(9)
Below is an optimized crystal structure of MoRhW2N, with properties calculated at the GGA-PBE level.

Values from the calculation:
The total energy comes out at -10.57 eV per atom. The calculation puts the uncorrected formation energy at -0.415 eV per formula unit. The calculation puts the density of states at the Fermi level at 5.07 states/eV/f.u.

Unit cell a=4.105 b=4.105 c=4.100 alpha=90.00 beta=90.00 gamma=90.00
Positions (direct):
1 Mo 0.000 0.000 0.000
2 Rh 0.500 0.500 0.000
3 W 0.000 0.500 0.500
4 W 0.500 0.000 0.500
5 N 0.000 0.000 0.500

***

(10)
Below is an optimized crystal structure of KSbTe2, with properties calculated at the GGA-PBE level.

Values from the calculation:
The total energy comes out at -3.29 eV per atom. The calculation puts the uncorrected formation energy at -1.669 eV per formula unit. The calculation puts the density of states at the Fermi level at 0.12 states/eV/f.u.

Unit cell a=4.496 b=4.496 c=8.041 alpha=90.00 beta=90.00 gamma=90.00
Positions (direct):
1 K 0.000 0.000 0.000
2 Sb 0.500 0.500 0.516
3 Te 0.000 0.000 0.448
4 Te 0.500 0.500 0.852

***

(11)
Below is an optimized crystal structure of SmDyHo2P4, with properties calculated at the GGA-PBE level.

Values from the calculation:
The total energy comes out at -6.61 eV per atom. The calculation puts the density of states at the Fermi level at 0.82 states/eV/f.u.

Unit cell a=6.966 b=4.024 c=6.967 alpha=90.00 beta=109.47 gamma=90.00
Positions (direct):
1 Sm 0.000 0.000 0.000
2 Dy 0.000 0.500 0.500
3 Ho 0.500 0.000 0.500
4 Ho 0.500 0.500 0.000
5 P 0.253 0.000 0.748
6 P 0.255 0.500 0.255
7 P 0.745 0.500 0.745
8 P 0.747 0.000 0.252

***

(12)
Below is an optimized crystal structure of KMg2Ag, with properties calculated at the GGA-PBE level.

Values from the calculation:
The total energy comes out at -1.60 eV per atom. The calculation puts the density of states at the Fermi level at 2.75 states/eV/f.u. The calculation puts the energy above the most stable polymorph in this dataset at 13.0 kJ/mol of atoms.

Unit cell a=11.238 b=11.238 c=11.238 alpha=17.08 beta=17.08 gamma=17.08
Positions (direct):
1 K 0.000 0.000 0.000
2 Mg 0.234 0.234 0.234
3 Mg 0.766 0.766 0.766
4 Ag 0.500 0.500 0.500

***

Values of total magnetization, in order: 0.0, 0.0, 0.0, 0.0, 0.0, 0.0, 0.2, 0.0, 0.0, 0.0, 0.0, 0.0, all in μB per formula unit.